! TbNd4Tm6 (PBE, relaxed); values from VASP
! DOS(E_F), states/eV/atom: 1.224
! Magnetization, μB per cell: 0.0
! E_form, meV per atom: 299
&SYSTEM
  ibrav = 0, nat = 11, ntyp = 3
/
ATOMIC_SPECIES
Nd 144.24 Nd.upf
Tm 168.93 Tm.upf
Tb 158.93 Tb.upf
CELL_PARAMETERS angstrom
7.446 -2.889 -5.449
-5.141 7.975 1.861
-1.863 2.889 9.037
ATOMIC_POSITIONS angstrom
Nd -1.256 1.948 5.764
Nd -3.290 5.105 1.311
Nd -2.282 8.916 7.361
Tm -1.227 4.989 4.096
Tm -3.787 5.875 8.080
Tb 0.000 0.000 0.000
Tm 1.153 2.543 -1.794
Tm 3.409 0.288 -1.353
Tm -4.955 7.686 5.525
Tm 2.792 0.000 1.794
Nd 0.268 2.870 1.912